DFT (PBE-GGA) results for crystalline Pr5Y6Mg at its relaxed geometry.

Cell: 9.5308 9.5308 9.5308 Å, 148.77 115.46 73.44°
Atoms (fractional coordinates):
Pr1 0.0000 0.0000 0.0000
Pr2 0.1661 0.6661 0.5000
Pr3 0.3325 0.3325 0.0000
Pr4 0.6675 0.6675 0.0000
Pr5 0.8339 0.3339 0.5000
Y1 0.0874 0.8344 0.2530
Y2 0.2520 0.5000 0.7520
Y3 0.4186 0.1656 0.2530
Y4 0.5814 0.8344 0.7470
Y5 0.7480 0.5000 0.2480
Y6 0.9126 0.1656 0.7470
Mg1 0.5000 0.0000 0.5000

Results
**ΔE_f**: 0.3 eV/f.u.
**SG**: Immm, No. 71
**V**: 398.88 Å³/f.u.